1.
Material: Er2NpNi9
Method: DFT, PBE-GGA
State: optimized geometry

abc: 4.9352 4.9352 24.2624
angles: 90.00 90.00 120.00
Space group R-3m (No. 166, hexagonal axes)
Inequivalent atoms, fractional coordinates:
1 Er 0.0000 0.0000 0.1391 x6
2 Np 0.0000 0.0000 0.0000 x3
3 Ni 0.0000 0.0000 0.3331 x6
4 Ni 0.0000 0.0000 0.5000 x3
5 Ni 0.0011 0.5006 0.9175 x18

Computed properties:
Uncorrected energy (eV/cell): -233.9
Total moment (μB per formula unit): 2.3
ΔE_f (kJ/mol of formula units): -372.6
DOS(E_F) (states/eV/atom): 1.718


2.
Material: CsSrIF2
Method: DFT, PBE-GGA
State: optimized geometry

abc: 5.009 5.009 6.681
angles: 90.00 90.00 90.00
Space group P4/mmm (No. 123)
Inequivalent atoms, fractional coordinates:
1 Cs 0.000 0.000 0.000 x1
2 Sr 0.500 0.500 0.500 x1
3 I 0.500 0.500 0.000 x1
4 F 0.000 0.500 0.500 x2

Computed properties:
Uncorrected energy (eV/cell): -21.4
Total moment (μB per formula unit): 0.0
Uncorrected formation energy (eV/atom): -2.713
DOS(E_F) (states/eV/atom): 0.000


3.
Material: Li2MnTlAg
Method: DFT, PBE-GGA
State: optimized geometry

abc: 4.994 4.994 5.124
angles: 90.00 90.00 90.00
Space group P4/mmm (No. 123)
Inequivalent atoms, fractional coordinates:
1 Li 0.000 0.500 0.000 x2
2 Mn 0.000 0.000 0.500 x1
3 Tl 0.000 0.000 0.000 x1
4 Ag 0.500 0.500 0.500 x1

Computed properties:
Uncorrected energy (eV/cell): -15.2
Total moment (μB per formula unit): 3.8
ΔE_f (kJ/mol of formula units): 293.4
DOS(E_F) (states/eV/atom): 0.515


4.
Material: KAg6O4
Method: DFT, PBE-GGA
State: optimized geometry

abc: 6.389 6.389 8.647
angles: 90.00 90.00 90.00
Space group I-42m (No. 121)
Inequivalent atoms, fractional coordinates:
1 K 0.000 0.000 0.000 x2
2 Ag 0.000 0.500 0.000 x4
3 Ag 0.170 0.170 0.317 x8
4 O 0.215 0.215 0.589 x8

Computed properties:
Uncorrected energy (eV/cell): -77.3
Total moment (μB per formula unit): 0.0
Uncorrected formation energy (eV/atom): -0.055
DOS(E_F) (states/eV/atom): 0.769


5.
Material: Sm2MgTl3Te6
Method: DFT, PBE-GGA
State: optimized geometry

abc: 7.736 13.429 8.392
angles: 90.00 108.01 90.00
Space group C2/m (No. 12)
Inequivalent atoms, fractional coordinates:
1 Sm 0.000 0.165 0.000 x4
2 Mg 0.000 0.500 0.000 x2
3 Tl 0.000 0.000 0.500 x2
4 Tl 0.000 0.328 0.500 x4
5 Te 0.232 0.338 0.215 x8
6 Te 0.250 0.000 0.218 x4

Computed properties:
Uncorrected energy (eV/cell): -94.4
Total moment (μB per formula unit): 0.0
Uncorrected formation energy (eV/atom): -0.853
DOS(E_F) (states/eV/atom): 0.534


6.
Material: Ba4Na2Cl
Method: DFT, PBE-GGA
State: optimized geometry

abc: 6.109 6.109 20.035
angles: 90.00 90.00 90.00
Space group I4/mmm (No. 139)
Inequivalent atoms, fractional coordinates:
1 Ba 0.000 0.000 0.181 x4
2 Ba 0.000 0.500 0.000 x4
3 Na 0.000 0.000 0.372 x4
4 Cl 0.000 0.000 0.000 x2

Computed properties:
Uncorrected energy (eV/cell): -29.9
Total moment (μB per formula unit): 0.0
Uncorrected formation energy (eV/atom): -0.400
DOS(E_F) (states/eV/atom): 1.211


7.
Material: Ta2CrPt
Method: DFT, PBE-GGA
State: optimized geometry

abc: 3.166 3.166 6.359
angles: 90.00 90.00 90.00
Space group P4/mmm (No. 123)
Inequivalent atoms, fractional coordinates:
1 Ta 0.000 0.000 0.229 x2
2 Cr 0.500 0.500 0.000 x1
3 Pt 0.500 0.500 0.500 x1

Computed properties:
Uncorrected energy (eV/cell): -40.5
Total moment (μB per formula unit): 0.0
ΔE_f (kJ/mol of formula units): -108.5
DOS(E_F) (states/eV/atom): 0.879


8.
Material: PrHoZn4
Method: DFT, PBE-GGA
State: optimized geometry

abc: 4.506 7.275 7.796
angles: 90.00 90.00 90.00
Space group Immm (No. 71)
Inequivalent atoms, fractional coordinates:
1 Pr 0.000 0.000 0.000 x2
2 Ho 0.000 0.500 0.000 x2
3 Zn 0.000 0.241 0.334 x8

Computed properties:
ΔE to the lowest computed polymorph (meV/atom): 0
Uncorrected energy (eV/cell): -33.1
Total moment (μB per formula unit): 0.0
ΔE_f (kJ/mol of formula units): -200.9
DOS(E_F) (states/eV/atom): 1.055